Below is crystalline MnBePO2 at its relaxed geometry, with properties calculated at the PBE+U level. Values from VASP.

Computed properties:
Total DFT energy (no corrections) in eV per atom: -5.699
DOS(E_F) in states/eV/cell: 2.074
Magnetization in μB per formula unit: 2.41
Space group: P4/mmm, No. 123
Energy above the lowest structure with this stoichiometry in meV per atom: 0

Geometry as Quantum ESPRESSO input:
```
&SYSTEM
  ibrav = 0, nat = 5, ntyp = 4
/
ATOMIC_SPECIES
O 16.00 O.upf
Mn 54.94 Mn.upf
Be 9.01 Be.upf
P 30.97 P.upf
ATOMIC_POSITIONS angstrom
O -1.100 -1.083 -0.751
O 0.949 0.027 -1.430
Mn 1.231 -3.069 -1.303
Be 0.000 0.000 0.000
P 1.382 -2.013 0.878
CELL_PARAMETERS angstrom
-2.201 -2.166 -1.502
1.898 0.055 -2.861
2.764 -4.027 1.757
```